Material: Nb2CoRuN
Method: DFT, PBE-GGA
State: optimized geometry

Lattice parameters (Å, degrees): 4.2418 4.2418 3.7420 90.00 90.00 90.00
With the nearest neighbours (Å) after each atom.
Sites, in units of the cell vectors:
1 Ru 0.5000 0.5000 0.5000  8 Nb 2.83, 4 Co 3.00
2 Nb 0.0000 0.5000 0.0000  2 N 2.12
3 Nb 0.5000 0.0000 0.0000  2 N 2.12
4 Co 0.0000 0.0000 0.5000  2 N 1.87
5 N 0.0000 0.0000 0.0000  2 Co 1.87

Energy relative to the elements, uncorrected (eV per atom): -0.397
Symmetry: P4/mmm (123)
Calculated volume (Å³/cell): 67
Density of states at the Fermi level (states/eV per atom): 0.8101
Total magnetization (μB/cell): 0.6

Material: Cs2SiMoI6
Method: DFT, PBE-GGA
State: optimized geometry

Lattice parameters (Å, degrees): 8.3142 8.3142 8.3240 60.04 60.04 90.00
With the nearest neighbours (Å) after each atom.
Sites, in units of the cell vectors:
1 Cs 0.7500 0.2500 0.5000  12 I 4.16
2 Cs 0.2500 0.7500 0.5000  12 I 4.16
3 I 0.2470 0.2470 0.5061  1 Mo 2.91, 1 Si 2.98
4 I 0.7530 0.7530 0.4939  1 Mo 2.91, 1 Si 2.98
5 I 0.2467 0.2467 0.0000  1 Mo 2.90, 1 Si 2.98
6 I 0.7533 0.7533 0.0000  1 Mo 2.90, 1 Si 2.98
7 I 0.7533 0.2467 0.0000  1 Mo 2.90, 1 Si 2.98
8 I 0.2467 0.7533 0.0000  1 Mo 2.90, 1 Si 2.98
9 Mo 0.0000 0.0000 0.0000  6 I 2.90-2.91
10 Si 0.5000 0.5000 0.0000  6 I 2.98

Energy relative to the elements, uncorrected (eV per atom): -0.550
Symmetry: I4/mmm (139)
Calculated volume (Å³/cell): 407
Density of states at the Fermi level (states/eV per atom): 0.2088
Total magnetization (μB/cell): 4.0

Material: CaNbO2F
Method: DFT, PBE-GGA
State: optimized geometry

Lattice parameters (Å, degrees): 4.0891 4.0891 4.2405 90.00 90.00 90.00
With the nearest neighbours (Å) after each atom.
Sites, in units of the cell vectors:
1 Nb 0.0000 0.0000 0.0000  4 O 2.04, 2 F 2.12
2 Ca 0.5000 0.5000 0.5000  4 F 2.89, 8 O 2.95
3 O 0.0000 0.5000 0.0000  2 Nb 2.04
4 O 0.5000 0.0000 0.0000  2 Nb 2.04
5 F 0.0000 0.0000 0.5000  2 Nb 2.12

Energy relative to the elements, uncorrected (eV per atom): -2.360
Symmetry: P4/mmm (123)
Calculated volume (Å³/cell): 71
Density of states at the Fermi level (states/eV per atom): 0.5728
Total magnetization (μB/cell): 0.0

Material: MnCoCuRe
Method: DFT, PBE-GGA
State: optimized geometry

Lattice parameters (Å, degrees): 3.6133 3.6133 7.4821 90.00 90.00 90.00
With the nearest neighbours (Å) after each atom.
Sites, in units of the cell vectors:
1 Mn 0.0000 0.5000 0.2500  4 Cu 2.55, 4 Co 2.60, 4 Re 2.60
2 Mn 0.5000 0.0000 0.7500  4 Cu 2.55, 4 Co 2.60, 4 Re 2.60
3 Co 0.0000 0.0000 0.5000  4 Re 2.55, 4 Mn 2.60, 4 Cu 2.60
4 Co 0.5000 0.5000 0.0000  4 Re 2.55, 4 Cu 2.60, 4 Mn 2.60
5 Cu 0.0000 0.5000 0.7500  4 Mn 2.55, 4 Re 2.60, 4 Co 2.60
6 Cu 0.5000 0.0000 0.2500  4 Mn 2.55, 4 Re 2.60, 4 Co 2.60
7 Re 0.0000 0.0000 0.0000  4 Co 2.55, 4 Mn 2.60, 4 Cu 2.60
8 Re 0.5000 0.5000 0.5000  4 Co 2.55, 4 Mn 2.60, 4 Cu 2.60

Symmetry: I-4m2 (119)
DFT formation energy (meV per atom): 201.9
Calculated volume (Å³/cell): 98
Density of states at the Fermi level (states/eV per atom): 1.0265
Total magnetization (μB/cell): 2.0

Material: Ce3Ag4Hg4
Method: DFT, PBE-GGA
State: optimized geometry

Lattice parameters (Å, degrees): 3.2817 4.9741 15.9178 81.02 84.09 89.98
With the nearest neighbours (Å) after each atom.
Sites, in units of the cell vectors:
1 Ce 0.1397 0.6400 0.7204  2 Ce 3.28, 6 Hg 3.31, 6 Ag 3.32-3.40
2 Ce 0.8603 0.3600 0.2796  2 Ce 3.28, 6 Hg 3.31, 6 Ag 3.32-3.40
3 Ce 0.0000 0.0000 0.0000  2 Ce 3.28, 8 Hg 3.34, 4 Ag 3.34
4 Ag 0.5930 0.0933 0.8138  3 Hg 2.86-2.91
5 Ag 0.2653 0.2648 0.4702  4 Hg 2.92-2.96, 4 Ag 3.12
6 Ag 0.7348 0.7352 0.5298  4 Hg 2.92-2.96, 4 Ag 3.12
7 Ag 0.4070 0.9068 0.1862  3 Hg 2.86-2.91
8 Hg 0.5483 0.5481 0.9041  2 Ag 2.86, 1 Hg 3.00
9 Hg 0.4518 0.4519 0.0959  2 Ag 2.86, 1 Hg 3.00
10 Hg 0.3137 0.8137 0.3721  5 Ag 2.91-2.96
11 Hg 0.6863 0.1863 0.6279  5 Ag 2.91-2.96

Symmetry: Immm (71)
DFT formation energy (meV per atom): -222.8
Calculated volume (Å³/cell): 255
Density of states at the Fermi level (states/eV per atom): 1.7368
Total magnetization (μB/cell): 3.5

Material: LaPm8Ho2
Method: DFT, PBE-GGA
State: optimized geometry

Lattice parameters (Å, degrees): 5.6700 8.3462 9.4748 116.13 107.41 90.00
With the nearest neighbours (Å) after each atom.
Sites, in units of the cell vectors:
1 La 0.5000 0.0000 0.0000  4 Pm 3.34
2 Pm 0.6399 0.8437 0.2797  1 La 3.34, 4 Pm 3.40-3.61, 3 Ho 3.44-3.57
3 Pm 0.3602 0.5640 0.7205  1 La 3.34, 4 Pm 3.40-3.61, 3 Ho 3.44-3.57
4 Pm 0.1632 0.1633 0.3263  2 Ho 3.59, 8 Pm 3.59-3.78, 2 La 3.86
5 Pm 0.0000 0.2953 0.9999  7 Pm 3.42-3.61, 2 Ho 3.63, 2 La 3.76
6 Pm 0.8368 0.8367 0.6737  2 Ho 3.59, 8 Pm 3.59-3.78, 2 La 3.86
7 Pm 0.6398 0.4360 0.2795  1 La 3.34, 4 Pm 3.40-3.61, 3 Ho 3.44-3.57
8 Pm 0.3601 0.1563 0.7203  1 La 3.34, 4 Pm 3.40-3.61, 3 Ho 3.44-3.57
9 Pm 0.0000 0.7047 0.0001  7 Pm 3.42-3.61, 2 Ho 3.63, 2 La 3.76
10 Ho 0.1997 0.6996 0.3994  10 Pm 3.44-3.63
11 Ho 0.8003 0.3004 0.6006  10 Pm 3.44-3.63

Symmetry: Immm (71)
DFT formation energy (meV per atom): 109.5
Calculated volume (Å³/cell): 380
Density of states at the Fermi level (states/eV per atom): 1.5045
Total magnetization (μB/cell): 0.0